# LiAgOs2 PBE relaxed
data_LiAgOs2
_chemical_formula_sum 'Li1 Ag1 Os2'
_cell_length_a 2.8242
_cell_length_b 2.8242
_cell_length_c 7.4773
_cell_angle_alpha 90.00
_cell_angle_beta 90.00
_cell_angle_gamma 90.00
_space_group_name_H-M_alt 'P 1'
_space_group_IT_number 1
loop_
_space_group_symop_operation_xyz
'x,y,z'
loop_
_atom_site_label
_atom_site_fract_x
_atom_site_fract_y
_atom_site_fract_z
Li1 0.0000 0.0000 0.0000
Ag1 0.5000 0.5000 0.7559
Os1 0.0000 0.0000 0.4661
Os2 0.5000 0.5000 0.2499
# crystal system	tetragonal
# E above lowest polymorph	34	meV/atom
# density	13.79	g cm⁻³
# size of the total moment	0.00	μB/cell

---

# LiAgOs2 PBE relaxed
data_LiAgOs2
_chemical_formula_sum 'Li2 Ag2 Os4'
_cell_length_a 2.7216
_cell_length_b 4.5756
_cell_length_c 9.6928
_cell_angle_alpha 90.00
_cell_angle_beta 90.00
_cell_angle_gamma 90.00
_space_group_name_H-M_alt 'P 1'
_space_group_IT_number 1
loop_
_space_group_symop_operation_xyz
'x,y,z'
loop_
_atom_site_label
_atom_site_fract_x
_atom_site_fract_y
_atom_site_fract_z
Li1 0.0000 0.0000 0.0000
Li2 0.5000 0.5000 0.0000
Ag1 0.0000 0.0000 0.5000
Ag2 0.5000 0.5000 0.5000
Os1 0.0000 0.5000 0.2381
Os2 0.0000 0.5000 0.7619
Os3 0.5000 0.0000 0.2381
Os4 0.5000 0.0000 0.7619
# crystal system	orthorhombic
# E above lowest polymorph	279	meV/atom
# density	13.63	g cm⁻³
# size of the total moment	0.00	μB/cell

---

# LiAgOs2 PBE relaxed
data_LiAgOs2
_chemical_formula_sum 'Li2 Ag2 Os4'
_cell_length_a 4.9988
_cell_length_b 9.0258
_cell_length_c 2.6700
_cell_angle_alpha 90.00
_cell_angle_beta 90.00
_cell_angle_gamma 90.00
_space_group_name_H-M_alt 'P 1'
_space_group_IT_number 1
loop_
_space_group_symop_operation_xyz
'x,y,z'
loop_
_atom_site_label
_atom_site_fract_x
_atom_site_fract_y
_atom_site_fract_z
Li1 0.0000 0.0000 0.0000
Li2 0.5000 0.5000 0.0000
Ag1 0.0000 0.5000 0.0000
Ag2 0.5000 0.0000 0.0000
Os1 0.2500 0.2500 0.5000
Os2 0.2500 0.7500 0.5000
Os3 0.7500 0.2500 0.5000
Os4 0.7500 0.7500 0.5000
# crystal system	orthorhombic
# E above lowest polymorph	374	meV/atom
# density	13.65	g cm⁻³
# size of the total moment	0.00	μB/cell

---

# LiAgOs2 PBE relaxed
data_LiAgOs2
_chemical_formula_sum 'Li2 Ag2 Os4'
_cell_length_a 2.7154
_cell_length_b 4.2319
_cell_length_c 10.2582
_cell_angle_alpha 90.00
_cell_angle_beta 90.00
_cell_angle_gamma 90.00
_space_group_name_H-M_alt 'P 1'
_space_group_IT_number 1
loop_
_space_group_symop_operation_xyz
'x,y,z'
loop_
_atom_site_label
_atom_site_fract_x
_atom_site_fract_y
_atom_site_fract_z
Li1 0.0000 0.0000 0.0000
Li2 0.5000 0.5000 0.5000
Ag1 0.0000 0.0000 0.5000
Ag2 0.5000 0.5000 0.0000
Os1 0.0000 0.5000 0.2841
Os2 0.0000 0.5000 0.7159
Os3 0.5000 0.0000 0.2159
Os4 0.5000 0.0000 0.7841
# crystal system	orthorhombic
# E above lowest polymorph	183	meV/atom
# density	13.95	g cm⁻³
# size of the total moment	0.00	μB/cell

---

# LiAgOs2 PBE relaxed
data_LiAgOs2
_chemical_formula_sum 'Li2 Ag2 Os4'
_cell_length_a 2.8083
_cell_length_b 4.6218
_cell_length_c 9.4266
_cell_angle_alpha 90.00
_cell_angle_beta 90.00
_cell_angle_gamma 90.00
_space_group_name_H-M_alt 'P 1'
_space_group_IT_number 1
loop_
_space_group_symop_operation_xyz
'x,y,z'
loop_
_atom_site_label
_atom_site_fract_x
_atom_site_fract_y
_atom_site_fract_z
Li1 0.0000 0.0000 0.0000
Li2 0.5000 0.5000 0.0000
Ag1 0.0000 0.5000 0.2479
Ag2 0.5000 0.0000 0.2479
Os1 0.0000 0.0000 0.5246
Os2 0.0000 0.5000 0.7564
Os3 0.5000 0.0000 0.7564
Os4 0.5000 0.5000 0.5246
# crystal system	orthorhombic
# E above lowest polymorph	178	meV/atom
# density	13.44	g cm⁻³
# size of the total moment	0.00	μB/cell

---

# LiAgOs2 PBE relaxed
data_LiAgOs2
_chemical_formula_sum 'Li1 Ag1 Os2'
_cell_length_a 3.6315
_cell_length_b 3.6315
_cell_length_c 4.4842
_cell_angle_alpha 90.00
_cell_angle_beta 90.00
_cell_angle_gamma 90.00
_space_group_name_H-M_alt 'P 1'
_space_group_IT_number 1
loop_
_space_group_symop_operation_xyz
'x,y,z'
loop_
_atom_site_label
_atom_site_fract_x
_atom_site_fract_y
_atom_site_fract_z
Li1 0.0000 0.0000 0.0000
Ag1 0.5000 0.5000 0.0000
Os1 0.0000 0.5000 0.5000
Os2 0.5000 0.0000 0.5000
# crystal system	tetragonal
# E above lowest polymorph	313	meV/atom
# density	13.91	g cm⁻³
# size of the total moment	0.00	μB/cell

---

Number 1: formation energy 0.2733 eV/atom. Number 2: formation energy 0.5188 eV/atom. Number 3: formation energy 0.6142 eV/atom. Number 4: formation energy 0.4224 eV/atom. Number 5: formation energy 0.4177 eV/atom. Number 6: formation energy 0.5524 eV/atom.